# K7Ba6 | Alexandria via LeMat-Bulk | PBE | relaxed
# Density of states at the Fermi level in states/eV/cell: 51.915
# Energy relative to the elements in eV per atom: 0.1056
data_K7Ba6
_chemical_formula_sum 'K21 Ba18'
_symmetry_space_group_name_H-M 'R -3 m'
_symmetry_Int_Tables_number 166
_symmetry_space_group_name_Hall '-R 3 2"'
_cell_length_a 8.0852
_cell_length_b 8.0852
_cell_length_c 45.8550
_cell_angle_alpha 90.00
_cell_angle_beta 90.00
_cell_angle_gamma 120.00
loop_
_atom_site_label
_atom_site_type_symbol
_atom_site_fract_x
_atom_site_fract_y
_atom_site_fract_z
_atom_site_occupancy
K1 K 0.0000 0.0000 0.0000 1
K2 K 0.0049 0.5024 0.4094 1
Ba1 Ba 0.0000 0.0000 0.1661 1
Ba2 Ba 0.0000 0.0000 0.3506 1
Ba3 Ba 0.0000 0.0000 0.4552 1